# 1
Compound: MnAlOsN2
Source: the Alexandria database
Functional: PBE
Structure: relaxed

Cell: 3.5254 5.3687 3.5254 Å, 90.00 90.00 90.00°
Closest atoms and distances in Å follow each position.
Element x y z (fractional)
1 N 0.5000 0.0000 0.0000  2 Mn 1.76
2 N 0.0000 0.0000 0.5000  2 Mn 1.76
3 Al 0.5000 0.5000 0.5000  4 Os 2.49
4 Os 0.0000 0.5000 0.0000  4 Al 2.49, 2 Mn 2.68
5 Mn 0.0000 0.0000 0.0000  4 N 1.76

Output
The calculation puts the volume at 66.7 Å³/cell. As for the magnetic moment: 0.00 μB per cell. The raw formation energy is 21.17 kcal/mol of atoms. As for the calculated total energy: -36.2 eV per cell.

=====

# 2
Compound: MnAlSN2
Source: the Alexandria database
Functional: PBE
Structure: relaxed

Cell: 3.6337 3.6337 5.4203 Å, 90.00 90.00 90.00°
Closest atoms and distances in Å follow each position.
Element x y z (fractional)
1 Mn 0.5000 0.5000 0.5000  4 S 2.57
2 N 0.0000 0.5000 0.0000  2 Al 1.82
3 N 0.5000 0.0000 0.0000  2 Al 1.82
4 Al 0.0000 0.0000 0.0000  4 N 1.82
5 S 0.0000 0.0000 0.5000  4 Mn 2.57, 2 Al 2.71

Output
The calculation puts the volume at 71.6 Å³/cell. As for the magnetic moment: 5.59 μB per cell. The raw formation energy is 12.13 kcal/mol of atoms. As for the calculated total energy: -31.1 eV per cell.

=====

# 3
Compound: MnAlSN2
Source: the Alexandria database
Functional: PBE
Structure: relaxed

Cell: 3.5818 3.5818 4.9870 Å, 90.00 90.00 90.00°
Closest atoms and distances in Å follow each position.
Element x y z (fractional)
1 S 0.0000 0.0000 0.5000  2 Mn 2.49, 4 Al 2.53
2 N 0.0000 0.5000 0.0000  2 Mn 1.79
3 N 0.5000 0.0000 0.0000  2 Mn 1.79
4 Mn 0.0000 0.0000 0.0000  4 N 1.79
5 Al 0.5000 0.5000 0.5000  4 S 2.53

Output
The calculation puts the volume at 64.0 Å³/cell. As for the magnetic moment: 0.00 μB per cell. The raw formation energy is 8.44 kcal/mol of atoms. As for the calculated total energy: -31.9 eV per cell.